Crystalline Sm2CdHg at its relaxed geometry, computed with PBE-GGA.

Structure (POSCAR):
```
Sm2CdHg
1.0
3.8065 0.0000 0.0000
0.0000 3.8065 0.0000
0.0000 0.0000 7.5936
Cd Sm Hg
1 2 1
Cartesian
1.9032 1.9032 3.7968
0.0000 0.0000 5.7110
0.0000 0.0000 1.8826
1.9032 1.9032 0.0000
```

Results
Density: 9.3 g/cm³
DFT formation energy: -0.393 eV/atom
Symmetry: No. 123
Spin magnetization: 0.853 μB per formula unit

=====

Crystalline Be2InSe at its relaxed geometry, computed with PBE-GGA.

Structure (POSCAR):
```
Be2InSe
1.0
5.0916 0.0091 -0.0026
0.4897 5.0680 0.0026
-1.5463 -3.9065 2.8763
Be In Se
2 1 1
Cartesian
2.5750 2.3424 0.0000
0.2157 0.1962 0.0000
3.1680 -0.6794 1.4368
0.8670 1.8500 1.4394
```

Results
E_form (uncorrected): 1.646 eV/f.u.
Density: 4.7 g/cm³
ΔE to the lowest computed polymorph: 262.6 meV/atom
Symmetry: No. 71
Spin magnetization: 0.000 μB per formula unit

=====

Crystalline Dy2CuP3Rh4 at its relaxed geometry, computed with PBE-GGA.

Structure (POSCAR):
```
Dy2CuP3Rh4
1.0
4.0461 0.0000 0.0000
0.0000 4.0461 0.0000
0.0000 0.0000 9.8719
P Rh Dy Cu
3 4 2 1
Cartesian
0.0000 2.0230 1.3509
2.0230 0.0000 8.5210
0.0000 0.0000 4.9360
0.0000 0.0000 0.0000
2.0230 2.0230 0.0000
0.0000 2.0230 3.6070
2.0230 0.0000 6.2649
2.0230 0.0000 2.5352
0.0000 2.0230 7.3367
2.0230 2.0230 4.9360
```

Results
Density: 9.2 g/cm³
DFT formation energy: -0.979 eV/atom
Symmetry: No. 115
Spin magnetization: 0.000 μB per formula unit

=====

Crystalline CaV2B at its relaxed geometry, computed with PBE-GGA.

Structure (POSCAR):
```
CaV2B
1.0
6.3404 0.0000 0.0000
0.0000 6.3404 0.0000
3.1702 3.1702 4.4830
V B Ca
4 2 2
Cartesian
4.7553 6.3403 3.3622
7.9256 6.3406 3.3622
3.1701 4.7553 1.1207
3.1704 1.5851 1.1207
3.1702 3.1702 0.0000
3.1702 6.3404 2.2415
0.0000 0.0000 0.0000
6.3404 3.1702 2.2415
```

Results
Density: 2.8 g/cm³
DFT formation energy: 0.835 eV/atom
Symmetry: No. 227
Spin magnetization: 4.023 μB per formula unit

=====

Crystalline In2TeAs at its relaxed geometry, computed with PBE-GGA.

Structure (POSCAR):
```
In2TeAs
1.0
6.6297 0.0000 0.0000
0.0000 6.6297 0.0000
3.3149 3.3149 6.5733
Te In As
2 4 2
Cartesian
6.6297 3.3149 3.2866
0.0000 0.0000 0.0000
8.2872 8.0595 4.9299
4.9723 5.2000 4.9299
4.7447 1.6574 1.6433
1.8851 4.9723 1.6433
3.3149 3.3149 0.0000
3.3149 6.6297 3.2866
```

Results
E_form (uncorrected): -0.616 eV/f.u.
Density: 5.0 g/cm³
ΔE to the lowest computed polymorph: 11.5 meV/atom
Symmetry: No. 122
Spin magnetization: 0.000 μB per formula unit

=====

Crystalline PrTm4Sc5 at its relaxed geometry, computed with PBE-GGA.

Structure (POSCAR):
```
PrTm4Sc5
1.0
3.3274 0.0000 0.7600
1.8525 7.3252 -0.4467
-0.8912 -3.5899 11.5649
Pr Sc Tm
1 5 4
Cartesian
0.0000 0.0000 0.0000
1.0888 -1.0171 10.5601
2.5756 -0.3483 4.0511
0.4807 1.8677 5.5591
1.7130 4.0836 7.8273
3.1999 4.7524 1.3182
1.2196 2.2376 2.3240
3.0690 1.4977 9.5544
1.8359 -0.6915 7.2894
2.4528 4.4268 4.5889
```

Results
Density: 6.3 g/cm³
DFT formation energy: 0.061 eV/atom
ΔE to the lowest computed polymorph: 0.0 meV/atom
Symmetry: No. 12
Spin magnetization: 0.000 μB per formula unit